1.
Below is an optimized crystal structure of CaVIO2, with properties calculated at the PBE with a Hubbard U level.

```
data_CaVIO2
_symmetry_space_group_name_H-M 'P 4/m m m'
_symmetry_Int_Tables_number 123
_symmetry_space_group_name_Hall '-P 4 2'
_cell_length_a 4.138
_cell_length_b 4.138
_cell_length_c 5.321
_cell_angle_alpha 90.00
_cell_angle_beta 90.00
_cell_angle_gamma 90.00
loop_
_atom_site_label
_atom_site_fract_x
_atom_site_fract_y
_atom_site_fract_z
Ca1 0.000 0.000 0.000
V1 0.500 0.500 0.500
I1 0.500 0.500 0.000
O1 0.000 0.500 0.500
```

**Spin magnetization**: 2.0 μB/cell

***

2.
Below is an optimized crystal structure of CaVIO2, with properties calculated at the PBE with a Hubbard U level.

```
data_CaVIO2
_symmetry_space_group_name_H-M 'P 4/m m m'
_symmetry_Int_Tables_number 123
_symmetry_space_group_name_Hall '-P 4 2'
_cell_length_a 4.365
_cell_length_b 4.365
_cell_length_c 6.099
_cell_angle_alpha 90.00
_cell_angle_beta 90.00
_cell_angle_gamma 90.00
loop_
_atom_site_label
_atom_site_fract_x
_atom_site_fract_y
_atom_site_fract_z
Ca1 0.000 0.000 0.000
V1 0.500 0.500 0.500
I1 0.000 0.000 0.500
O1 0.000 0.500 0.000
```

**Spin magnetization**: 4.6 μB/cell

***

Stability check: which of them is least stable? 2.